Record 1
# PBE Nd2HoTm9, relaxed
data_Nd2HoTm9
_space_group_name_H-M_alt 'P 1'
_space_group_IT_number 1
_cell_length_a 4.9829
_cell_length_b 4.9829
_cell_length_c 14.9409
_cell_angle_alpha 90.00
_cell_angle_beta 90.00
_cell_angle_gamma 90.00
loop_
_space_group_symop_operation_xyz
'x,y,z'
loop_
_atom_site_label
_atom_site_type_symbol
_atom_site_fract_x
_atom_site_fract_y
_atom_site_fract_z
Nd1 Nd 0.0000 0.0000 0.1670
Nd2 Nd 0.0000 0.0000 0.8330
Ho1 Ho 0.0000 0.0000 0.5000
Tm1 Tm 0.0000 0.5000 0.0000
Tm2 Tm 0.0000 0.5000 0.3356
Tm3 Tm 0.0000 0.5000 0.6644
Tm4 Tm 0.5000 0.0000 0.0000
Tm5 Tm 0.5000 0.0000 0.3356
Tm6 Tm 0.5000 0.0000 0.6644
Tm7 Tm 0.5000 0.5000 0.1681
Tm8 Tm 0.5000 0.5000 0.5000
Tm9 Tm 0.5000 0.5000 0.8319
# energy above the lowest structure with this stoichiometry: 0 meV per atom
# SG: P4/mmm, No. 123
# total magnetic moment: 0.0 μB/f.u.
# calculated formation energy: 0.3 eV/f.u.


Record 2
# PBE CuSb, relaxed
data_CuSb
_space_group_name_H-M_alt 'P 1'
_space_group_IT_number 1
_cell_length_a 4.1435
_cell_length_b 4.1435
_cell_length_c 2.9077
_cell_angle_alpha 90.00
_cell_angle_beta 90.00
_cell_angle_gamma 120.00
loop_
_space_group_symop_operation_xyz
'x,y,z'
loop_
_atom_site_label
_atom_site_type_symbol
_atom_site_fract_x
_atom_site_fract_y
_atom_site_fract_z
Cu1 Cu 0.0000 0.0000 0.0000
Sb1 Sb 0.6667 0.3333 0.5000
# SG: P-6m2, No. 187
# formation energy (no corrections): 0.174 eV/atom
# total magnetic moment: 0.0 μB/f.u.


Record 3
# PBE CoCuOs2I, relaxed
data_CoCuOs2I
_space_group_name_H-M_alt 'P 1'
_space_group_IT_number 1
_cell_length_a 4.8258
_cell_length_b 4.8258
_cell_length_c 4.6516
_cell_angle_alpha 90.00
_cell_angle_beta 90.00
_cell_angle_gamma 90.00
loop_
_space_group_symop_operation_xyz
'x,y,z'
loop_
_atom_site_label
_atom_site_type_symbol
_atom_site_fract_x
_atom_site_fract_y
_atom_site_fract_z
Co1 Co 0.0000 0.0000 0.0000
Cu1 Cu 0.5000 0.5000 0.0000
Os1 Os 0.0000 0.5000 0.5000
Os2 Os 0.5000 0.0000 0.5000
I1 I 0.5000 0.5000 0.5000
# SG: P4/mmm, No. 123
# formation energy (no corrections): 2.594 eV/atom
# total magnetic moment: 3.5 μB/f.u.


| no. | Fermi-level density of states (states/eV per cell) | energy (eV per atom) |
| --- | --- | --- |
| 1 | 17.04 | -4.5014 |
| 2 | 0.73 | -3.9356 |
| 3 | 6.26 | -4.4486 |